# Li3Tl2WF12

Li3Tl2WF12 after structural relaxation (PBE with a Hubbard U, Alexandria).

```
Li3Tl2WF12
1.0
3.327 1.921 7.942
-3.327 1.921 7.942
0.000 -3.842 7.942
Li Tl W F
3 2 1 12
direct
0.000 0.500 0.500
0.500 0.000 0.500
0.500 0.500 0.000
0.071 0.071 0.071
0.929 0.929 0.929
0.500 0.500 0.500
0.157 0.157 0.587
0.157 0.587 0.157
0.188 0.588 0.588
0.412 0.412 0.812
0.412 0.812 0.412
0.413 0.843 0.843
0.587 0.157 0.157
0.588 0.188 0.588
0.588 0.588 0.188
0.812 0.412 0.412
0.843 0.413 0.843
0.843 0.843 0.413
```

Properties
Its symmetry is R-3m, No. 166. The calculation puts the total DFT energy (no corrections) at -4.54 eV per atom. The density of states at the Fermi level is 5.50 states/eV per cell. Its mass density is 4.6 g/cm³. The spin magnetization is 1.06 μB per cell.